[1]
{"formula": "TcMoSe2", "functional": "PBE", "state": "optimized geometry", "m_tot_mub_per_cell": 0.00, "raw_formation_energy_mev_per_atom": -186, "lattice_angstrom": [[3.031, 0.000, 0.000], [0.000, 3.031, 0.000], [0.000, 0.000, 8.211]], "species": ["Tc", "Mo", "Se", "Se"], "fractional_positions": [[0.000, 0.000, 0.000], [0.500, 0.500, 0.237], [0.000, 0.000, 0.416], [0.500, 0.500, 0.832]]}

---

[2]
{"formula": "Ga3Ni8", "functional": "PBE", "state": "optimized geometry", "m_tot_mub_per_cell": 1.07, "delta_e_f_ev_per_atom": 0.2121, "lattice_angstrom": [[3.960, 2.287, 2.792], [-3.960, 2.287, 2.792], [0.000, -4.573, 2.792]], "species": ["Ga", "Ga", "Ga", "Ni", "Ni", "Ni", "Ni", "Ni", "Ni", "Ni", "Ni"], "fractional_positions": [[0.000, 0.500, 0.500], [0.500, 0.000, 0.500], [0.500, 0.500, 0.000], [0.046, 0.924, 0.689], [0.076, 0.311, 0.954], [0.311, 0.954, 0.076], [0.358, 0.358, 0.358], [0.642, 0.642, 0.642], [0.689, 0.046, 0.924], [0.924, 0.689, 0.046], [0.954, 0.076, 0.311]]}

---

[3]
{"formula": "CrCdIn2", "functional": "PBE", "state": "optimized geometry", "m_tot_mub_per_cell": 3.63, "delta_e_f_ev_per_atom": 0.2785, "lattice_angstrom": [[-2.218, 2.218, 4.355], [2.218, -2.218, 4.355], [2.218, 2.218, -4.355]], "species": ["Cr", "Cd", "In", "In"], "fractional_positions": [[0.000, 0.000, 0.000], [0.500, 0.500, 0.000], [0.250, 0.750, 0.500], [0.750, 0.250, 0.500]]}